# 1
Entry from the Alexandria database: an optimized crystal structure of CaNdOs2O8 (GGA-PBE).

V = 17.882 A^3/atom
symmetry = P-3m1
formation energy from raw total energies = -1.59 eV per atom
final energy = -7.33 eV per atom

a b c (Å): 5.976 5.976 6.938
angles (deg): 90.00 90.00 120.00
Sites, in units of the cell vectors:
1 Ca 0.000 0.000 0.000
2 Nd 0.000 0.000 0.500
3 Os 0.667 0.333 0.179
4 Os 0.333 0.667 0.821
5 O 0.333 0.667 0.077
6 O 0.326 0.163 0.262
7 O 0.837 0.163 0.262
8 O 0.667 0.333 0.923
9 O 0.163 0.837 0.738
10 O 0.674 0.837 0.738
11 O 0.163 0.326 0.738
12 O 0.837 0.674 0.262

---

# 2
Entry from the Alexandria database: an optimized crystal structure of CaNdOsO6 (GGA-PBE).

V = 14.576 A^3/atom
symmetry = P-31c
formation energy from raw total energies = -2.08 eV per atom
final energy = -7.38 eV per atom

a b c (Å): 5.693 5.693 9.347
angles (deg): 90.00 90.00 120.00
Sites, in units of the cell vectors:
1 Ca 0.000 0.000 0.000
2 Ca 0.000 0.000 0.500
3 Nd 0.333 0.667 0.250
4 Nd 0.667 0.333 0.750
5 Os 0.667 0.333 0.250
6 Os 0.333 0.667 0.750
7 O 0.673 0.614 0.135
8 O 0.941 0.327 0.135
9 O 0.327 0.941 0.635
10 O 0.059 0.673 0.865
11 O 0.386 0.327 0.365
12 O 0.941 0.614 0.365
13 O 0.614 0.941 0.865
14 O 0.673 0.059 0.365
15 O 0.059 0.386 0.635
16 O 0.386 0.059 0.135
17 O 0.614 0.673 0.635
18 O 0.327 0.386 0.865

---

# 3
Entry from the Alexandria database: an optimized crystal structure of CaNdP2O8 (GGA-PBE).

V = 14.716 A^3/atom
symmetry = P-3m1
formation energy from raw total energies = -2.61 eV per atom
final energy = -7.39 eV per atom

a b c (Å): 5.268 5.268 7.348
angles (deg): 90.00 90.00 120.00
Sites, in units of the cell vectors:
1 Ca 0.000 0.000 0.500
2 Nd 0.000 0.000 0.000
3 P 0.667 0.333 0.198
4 P 0.333 0.667 0.802
5 O 0.333 0.667 0.012
6 O 0.346 0.173 0.268
7 O 0.827 0.173 0.268
8 O 0.667 0.333 0.988
9 O 0.173 0.827 0.732
10 O 0.654 0.827 0.732
11 O 0.173 0.346 0.732
12 O 0.827 0.654 0.268